Entry 1:
Here is Pm2TlAuS4 after structural relaxation from the Alexandria database. Energies are from PBE.

Properties
V (Å³ per cell): 408.8
Electronic total energy (eV per atom): -5.297
Space-group type: Cmcm
Total moment (Bohr magnetons per cell): 0.00

a = 4.1111 Å, b = 7.2025 Å, c = 14.4060 Å
α = 90.00°, β = 90.00°, γ = 106.58°
Positions (direct):
Tl 0.8810 0.7620 0.2500
S 0.2644 0.5287 0.3955
S 0.7356 0.4713 0.6045
Au 0.8387 0.6773 0.7500
S 0.7356 0.4713 0.8955
Au 0.1613 0.3227 0.2500
S 0.0000 0.0000 0.5000
Tl 0.1190 0.2380 0.7500
S 0.0000 0.0000 0.0000
S 0.5540 0.1080 0.2500
Pm 0.3687 0.7374 0.5674
S 0.2644 0.5287 0.1045
Pm 0.3687 0.7374 0.9326
Pm 0.6313 0.2626 0.4326
Pm 0.6313 0.2626 0.0674
S 0.4460 0.8920 0.7500

Entry 2:
Here is Pm12SbAu6 after structural relaxation from the Alexandria database. Energies are from PBE.

Properties
V (Å³ per cell): 636.6
Electronic total energy (eV per atom): -4.687
Space-group type: R-3
Total moment (Bohr magnetons per cell): 0.00

a = 8.7724 Å, b = 8.7724 Å, c = 8.7724 Å
α = 100.45°, β = 100.45°, γ = 100.45°
Positions (direct):
Au 0.1395 0.6101 0.3171
Pm 0.4199 0.5747 0.1781
Pm 0.8219 0.5801 0.4253
Pm 0.0694 0.6679 0.9198
Pm 0.0802 0.9306 0.3321
Pm 0.9198 0.0694 0.6679
Au 0.8605 0.3899 0.6829
Pm 0.5747 0.1781 0.4199
Au 0.3899 0.6829 0.8605
Pm 0.4253 0.8219 0.5801
Pm 0.1781 0.4199 0.5747
Sb 0.0000 0.0000 0.0000
Au 0.3171 0.1395 0.6101
Pm 0.3321 0.0802 0.9306
Au 0.6829 0.8605 0.3899
Pm 0.9306 0.3321 0.0802
Pm 0.6679 0.9198 0.0694
Pm 0.5801 0.4253 0.8219
Au 0.6101 0.3171 0.1395

Entry 3:
Here is Pm2SbAu after structural relaxation from the Alexandria database. Energies are from PBE.

Properties
V (Å³ per cell): 234.4
Electronic total energy (eV per atom): -5.141
Space-group type: Cmcm
E above lowest polymorph (eV/atom): 0.000
Total moment (Bohr magnetons per cell): 0.00

a = 4.6214 Å, b = 4.2010 Å, c = 12.2565 Å
α = 99.87°, β = 90.00°, γ = 90.00°
Positions (direct):
Pm 0.2500 0.3190 0.6379
Sb 0.7500 0.8116 0.6232
Pm 0.7500 0.6810 0.3621
Pm 0.7500 0.9392 0.8783
Sb 0.2500 0.1884 0.3768
Au 0.2500 0.4589 0.9179
Au 0.7500 0.5411 0.0821
Pm 0.2500 0.0608 0.1217

Entry 4:
Here is Pm2SbAu3 after structural relaxation from the Alexandria database. Energies are from PBE.

Properties
V (Å³ per cell): 290.0
Electronic total energy (eV per atom): -4.731
Space-group type: Fmmm
E above lowest polymorph (eV/atom): 0.000
Total moment (Bohr magnetons per cell): 0.00

a = 6.0440 Å, b = 6.0440 Å, c = 9.0094 Å
α = 104.32°, β = 104.32°, γ = 105.22°
Positions (direct):
Au 0.3335 0.8334 0.1669
Au 0.1655 0.1655 0.3310
Sb 0.6652 0.6652 0.3304
Sb 0.3348 0.3348 0.6696
Pm 0.2500 0.7500 0.5000
Au 0.8345 0.8345 0.6690
Au 0.1666 0.6665 0.8331
Pm 0.7500 0.2500 0.5000
Pm 0.2369 0.2369 0.0000
Au 0.6665 0.1666 0.8331
Pm 0.7631 0.7631 0.0000
Au 0.8334 0.3335 0.1669

Entry 5:
Here is Pm5SbAu2 after structural relaxation from the Alexandria database. Energies are from PBE.

Properties
V (Å³ per cell): 460.7
Electronic total energy (eV per atom): -5.018
Space-group type: I4/mcm
Total moment (Bohr magnetons per cell): 0.00

a = 8.3151 Å, b = 8.3151 Å, c = 8.8867 Å
α = 117.89°, β = 117.89°, γ = 90.00°
Positions (direct):
Pm 0.0000 0.0000 0.0000
Pm 0.0121 0.5121 0.7123
Pm 0.9879 0.4879 0.2877
Pm 0.7001 0.2001 0.7123
Sb 0.7500 0.7500 0.5000
Pm 0.5121 0.7001 0.7123
Pm 0.2999 0.7999 0.2877
Au 0.1357 0.3643 0.0000
Au 0.6357 0.1357 0.0000
Pm 0.2001 0.0121 0.7123
Pm 0.4879 0.2999 0.2877
Pm 0.5000 0.5000 0.0000
Au 0.8643 0.6357 0.0000
Pm 0.7999 0.9879 0.2877
Sb 0.2500 0.2500 0.5000
Au 0.3643 0.8643 0.0000

Entry 6:
Here is PmSb2Au after structural relaxation from the Alexandria database. Energies are from PBE.

Properties
V (Å³ per cell): 102.5
Electronic total energy (eV per atom): -4.362
Space-group type: Fm-3m
E above lowest polymorph (eV/atom): 0.410
Total moment (Bohr magnetons per cell): 0.00

a = 5.2526 Å, b = 5.2526 Å, c = 5.2526 Å
α = 60.00°, β = 60.00°, γ = 60.00°
Positions (direct):
Sb 0.7500 0.7500 0.7500
Sb 0.2500 0.2500 0.2500
Pm 0.0000 0.0000 0.0000
Au 0.5000 0.5000 0.5000

Entry 7:
Here is Pm3Sb2Au4 after structural relaxation from the Alexandria database. Energies are from PBE.

Properties
V (Å³ per cell): 227.6
Electronic total energy (eV per atom): -4.779
Space-group type: C2/m
Total moment (Bohr magnetons per cell): 0.00

a = 4.5363 Å, b = 6.3240 Å, c = 9.1403 Å
α = 69.94°, β = 75.63°, γ = 68.98°
Positions (direct):
Sb 0.6163 0.0371 0.7302
Au 0.0227 0.3171 0.6374
Sb 0.3837 0.9629 0.2698
Au 0.2252 0.4537 0.0959
Pm 0.0000 0.0000 0.0000
Au 0.9773 0.6829 0.3626
Au 0.7748 0.5463 0.9041
Pm 0.6637 0.3208 0.3519
Pm 0.3363 0.6792 0.6481

Entry 8:
Here is Pm2SbAu after structural relaxation from the Alexandria database. Energies are from PBE.

Properties
V (Å³ per cell): 107.3
Electronic total energy (eV per atom): -5.036
Space-group type: Fm-3m
E above lowest polymorph (eV/atom): 0.106
Total moment (Bohr magnetons per cell): 0.00

a = 5.3344 Å, b = 5.3344 Å, c = 5.3344 Å
α = 60.00°, β = 60.00°, γ = 60.00°
Positions (direct):
Au 0.5000 0.5000 0.5000
Pm 0.2500 0.2500 0.2500
Pm 0.7500 0.7500 0.7500
Sb 0.0000 0.0000 0.0000

Entry 9:
Here is PmSb2Au6 after structural relaxation from the Alexandria database. Energies are from PBE.

Properties
V (Å³ per cell): 395.1
Electronic total energy (eV per atom): -3.944
Space-group type: C2/c
Total moment (Bohr magnetons per cell): 0.00

a = 5.8565 Å, b = 8.7630 Å, c = 8.7630 Å
α = 117.08°, β = 85.14°, γ = 85.14°
Positions (direct):
Au 0.0481 0.4920 0.7627
Au 0.2241 0.9349 0.3804
Au 0.4519 0.2373 0.5080
Au 0.1463 0.8416 0.9049
Au 0.7759 0.0651 0.6196
Au 0.7241 0.3804 0.9349
Au 0.2759 0.6196 0.0651
Pm 0.2500 0.1733 0.8267
Au 0.5481 0.7627 0.4920
Sb 0.0451 0.7563 0.5624
Au 0.8537 0.1584 0.0951
Sb 0.5451 0.5624 0.7563
Au 0.3537 0.0951 0.1584
Sb 0.4549 0.4376 0.2437
Au 0.9519 0.5080 0.2373
Pm 0.7500 0.8267 0.1733
Au 0.6463 0.9049 0.8416
Sb 0.9549 0.2437 0.4376

Entry 10:
Here is PmSb2Au after structural relaxation from the Alexandria database. Energies are from PBE.

Properties
V (Å³ per cell): 203.8
Electronic total energy (eV per atom): -4.749
Space-group type: I4/mmm
E above lowest polymorph (eV/atom): 0.022
Total moment (Bohr magnetons per cell): 0.00

a = 4.4320 Å, b = 4.4320 Å, c = 10.8380 Å
α = 101.80°, β = 101.80°, γ = 90.01°
Positions (direct):
Sb 0.9995 0.4995 0.0000
Au 0.7505 0.2505 0.5000
Sb 0.3397 0.3397 0.6796
Pm 0.1232 0.1232 0.2465
Sb 0.4995 0.9995 0.0000
Pm 0.8767 0.8767 0.7535
Sb 0.6601 0.6601 0.3204
Au 0.2505 0.7505 0.5000

Entry 11:
Here is PmSb3Au after structural relaxation from the Alexandria database. Energies are from PBE.

Properties
V (Å³ per cell): 527.6
Electronic total energy (eV per atom): -4.532
Space-group type: Pbcm
Total moment (Bohr magnetons per cell): 0.00

a = 6.3451 Å, b = 6.3109 Å, c = 13.1762 Å
α = 90.00°, β = 90.00°, γ = 90.00°
Positions (direct):
Pm 0.2500 0.9916 0.6859
Sb 0.2500 0.1665 0.9396
Au 0.5000 0.2500 0.1206
Pm 0.2500 0.4916 0.3141
Sb 0.2500 0.6665 0.0604
Sb 0.7500 0.5167 0.2495
Pm 0.7500 0.5084 0.6859
Sb 0.2500 0.4833 0.7505
Au 0.5000 0.7500 0.8794
Pm 0.7500 0.0084 0.3141
Sb 0.0000 0.2500 0.4987
Sb 0.5000 0.7500 0.5013
Sb 0.2500 0.9833 0.2495
Sb 0.7500 0.8335 0.0604
Au 0.0000 0.7500 0.8794
Sb 0.5000 0.2500 0.4987
Sb 0.7500 0.3335 0.9396
Sb 0.7500 0.0167 0.7505
Sb 0.0000 0.7500 0.5013
Au 0.0000 0.2500 0.1206

Entry 12:
Here is Pm2Sb2Au15 after structural relaxation from the Alexandria database. Energies are from PBE.

Properties
V (Å³ per cell): 398.2
Electronic total energy (eV per atom): -3.772
Space-group type: R-3m
Total moment (Bohr magnetons per cell): 0.00

a = 7.4002 Å, b = 7.4002 Å, c = 7.4002 Å
α = 83.62°, β = 83.62°, γ = 83.62°
Positions (direct):
Au 0.6640 0.1800 0.6640
Au 0.3400 0.6600 0.0000
Pm 0.6441 0.6441 0.6441
Au 0.3400 0.0000 0.6600
Au 0.3360 0.3360 0.8200
Au 0.0000 0.0000 0.5000
Au 0.6640 0.6640 0.1800
Au 0.6600 0.0000 0.3400
Sb 0.8928 0.8928 0.8928
Au 0.6600 0.3400 0.0000
Au 0.5000 0.0000 0.0000
Au 0.0000 0.5000 0.0000
Sb 0.1072 0.1072 0.1072
Pm 0.3559 0.3559 0.3559
Au 0.8200 0.3360 0.3360
Au 0.0000 0.6600 0.3400
Au 0.1800 0.6640 0.6640
Au 0.0000 0.3400 0.6600
Au 0.3360 0.8200 0.3360